Entry 1:
5
Lattice="-2.526 3.485 0.141 -3.388 -2.542 2.164 1.835 1.159 4.233" Properties=species:S:1:pos:R:3 comment="Fe2CuICl, single point on PBEsol structure, DFT SCAN" spacegroup="P4/mmm, No. 123" dos_at_fermi_per_ev_atom=0.6386 formation_energy_uncorrected_mev_per_atom=728 pbc="T T T"
I -2.039 1.051 3.269
Fe 0.917 0.579 2.116
Fe -1.694 -1.271 1.082
Cu 0.000 0.000 0.000
Cl -1.263 1.743 0.070

---

Entry 2:
5
Lattice="-0.582 1.284 5.234 -6.203 0.585 -0.833 -0.762 -6.079 1.407" Properties=species:S:1:pos:R:3 comment="Rb2NaBeCu, single point on PBEsol structure, DFT SCAN" formation_energy_ev_per_atom=0.826 spacegroup="P4/mmm, No. 123" dos_at_fermi_per_ev_atom=0.6982 pbc="T T T"
Na -0.291 0.642 2.617
Cu 0.000 0.000 0.000
Rb -0.381 -3.040 0.703
Rb -3.102 0.292 -0.417
Be -3.774 -2.105 2.904

---

Entry 3:
5
Lattice="-1.632 5.532 1.639 -0.274 -1.776 5.721 5.764 1.482 0.736" Properties=species:S:1:pos:R:3 comment="BaNaLa3, single point on PBEsol structure, DFT SCAN" formation_energy_ev_per_atom=0.697 spacegroup="Pm-3m, No. 221" dos_at_fermi_per_ev_atom=1.1046 pbc="T T T"
Na 1.929 2.619 4.048
Ba 0.000 0.000 0.000
La -0.137 -0.888 2.860
La 2.882 0.741 0.368
La -0.816 2.766 0.820

---

Entry 4:
4
Lattice="3.327 0.000 0.000 0.000 4.580 -0.002 -1.663 -1.154 4.554" Properties=species:S:1:pos:R:3 comment="AlCdAu2, single point on PBEsol structure, DFT SCAN" formation_energy_ev_per_atom=-0.317 spacegroup="Cm, No. 8" dos_at_fermi_per_ev_atom=0.2296 pbc="T T T"
Au 1.663 3.251 4.466
Au 1.663 0.664 2.284
Al 0.000 3.067 2.348
Cd 1.663 2.159 0.006

---

Entry 5:
4
Lattice="3.278 0.000 0.000 0.000 4.036 0.000 0.000 0.000 6.196" Properties=species:S:1:pos:R:3 comment="Ca2TcAs, single point on PBEsol structure, DFT SCAN" formation_energy_ev_per_atom=0.009 spacegroup="Pmmm, No. 47" dos_at_fermi_per_ev_atom=0.7333 pbc="T T T"
As 1.639 2.018 3.098
Ca 0.000 0.000 4.623
Ca 0.000 0.000 1.573
Tc 1.639 2.018 0.000

---

Entry 6:
5
Lattice="-4.311 0.733 0.678 -0.911 -4.553 -0.868 0.554 -0.985 4.586" Properties=species:S:1:pos:R:3 comment="FeSiAgRh2, single point on PBEsol structure, DFT SCAN" spacegroup="P4/mmm, No. 123" dos_at_fermi_per_ev_atom=0.9499 formation_energy_uncorrected_mev_per_atom=1804 pbc="T T T"
Si -2.334 -2.402 2.198
Rh 0.277 -0.493 2.293
Rh -0.455 -2.276 -0.434
Fe -2.155 0.367 0.339
Ag 0.000 0.000 0.000

---

Entry 7:
4
Lattice="-0.097 3.629 -1.437 -1.510 0.658 -3.540 -7.618 2.516 1.564" Properties=species:S:1:pos:R:3 comment="CdS2I, single point on PBEsol structure, DFT SCAN" spacegroup="R-3m, No. 166" dos_at_fermi_per_ev_atom=0.4586 formation_energy_uncorrected_mev_per_atom=-147 pbc="T T T"
I 0.000 0.000 0.000
S -3.905 4.639 -3.932
S -5.320 2.163 0.518
Cd -4.612 3.401 -1.707

---

Entry 8:
6
Lattice="2.515 0.000 0.000 0.000 3.937 0.000 -1.257 0.000 6.456" Properties=species:S:1:pos:R:3 comment="Fe5Os, single point on PBEsol structure, DFT SCAN" formation_energy_ev_per_atom=0.252 spacegroup="Amm2, No. 38" dos_at_fermi_per_ev_atom=0.8992 pbc="T T T"
Fe 0.000 0.000 0.066
Fe 1.257 0.000 2.148
Fe 0.000 0.000 4.240
Fe 1.257 1.968 0.770
Fe 0.000 1.968 2.808
Os 1.257 1.968 5.033

---

Entry 9:
5
Lattice="4.181 0.000 0.000 0.000 4.181 0.000 0.000 0.000 4.181" Properties=species:S:1:pos:R:3 comment="P3CBr, single point on PBEsol structure, DFT SCAN" spacegroup="Pm-3m, No. 221" dos_at_fermi_per_ev_atom=0.5741 formation_energy_uncorrected_mev_per_atom=1650 pbc="T T T"
P 0.000 2.091 0.000
P 0.000 0.000 2.091
P 2.091 0.000 0.000
C 0.000 0.000 0.000
Br 2.091 2.091 2.091

---

Entry 10:
3
Lattice="4.406 0.000 0.000 0.000 4.642 0.000 0.000 -2.321 4.020" Properties=species:S:1:pos:R:3 comment="SrCrTe, single point on PBEsol structure, DFT SCAN" spacegroup="P-6m2, No. 187" dos_at_fermi_per_ev_atom=0.3940 formation_energy_uncorrected_mev_per_atom=-676 pbc="T T T"
Cr 2.203 0.000 0.000
Sr 0.000 0.000 2.680
Te 2.203 2.321 1.340

---

Entry 11:
4
Lattice="-1.961 1.783 2.488 1.551 -2.076 2.710 5.175 4.707 -1.950" Properties=species:S:1:pos:R:3 comment="BeHgSb2, single point on PBEsol structure, DFT SCAN" spacegroup="Imm2, No. 44" dos_at_fermi_per_ev_atom=0.3937 formation_energy_uncorrected_mev_per_atom=318 pbc="T T T"
Sb 4.656 4.315 3.234
Sb 2.449 0.498 1.573
Hg 2.061 3.682 1.641
Be 0.160 0.188 2.646

---

Entry 12:
44
Lattice="-1.089 -6.041 3.329 6.194 1.239 4.274 -6.459 5.115 7.168" Properties=species:S:1:pos:R:3 comment="CuH6C2SeI, single point on PBEsol structure, DFT SCAN" final_energy_ev_per_atom=-10.426 spacegroup="P2_1/c, No. 14" dos_at_fermi_per_ev_atom=0.0000 pbc="T T T"
Cu 1.822 -1.563 4.508
Cu -0.405 -3.228 8.082
Cu -3.176 1.876 10.263
Cu -0.949 3.541 6.689
H 4.202 1.610 4.512
H -1.814 -1.012 5.109
H -5.556 -1.298 10.260
H 0.460 1.325 9.663
H 4.343 0.346 5.816
H -2.484 -2.677 5.419
H -5.698 -0.034 8.956
H 1.130 2.990 9.352
H 3.802 2.041 6.222
H -1.571 -2.316 3.880
H -5.156 -1.729 8.550
H 0.217 2.629 10.891
H 0.441 0.363 7.126
H 1.039 -4.803 5.271
H -1.795 -0.051 7.645
H -2.393 5.115 9.501
H 2.071 -0.355 7.429
H 0.338 1.071 2.127
H -3.425 0.668 7.342
H -1.692 -0.758 12.645
H 1.818 1.450 7.568
H -0.043 -4.256 3.929
H -3.172 -1.137 7.204
H -1.311 4.569 10.843
C 3.800 1.239 5.467
C -1.673 -2.093 4.954
C -5.154 -0.926 9.305
C 0.319 2.405 9.817
C 1.526 0.522 7.052
C 0.060 -4.370 5.019
C -2.880 -0.210 7.719
C -1.414 4.683 9.753
Se 1.935 0.754 5.165
Se 0.015 -2.588 5.796
Se -3.289 -0.442 9.606
Se -1.369 2.901 8.976
I -5.222 3.068 9.226
I 0.385 -1.604 9.905
I 3.868 -2.755 5.546
I -1.739 1.917 4.866

---

Entry 13:
8
Lattice="5.144 0.000 0.000 0.000 5.144 0.000 0.000 0.000 5.144" Properties=species:S:1:pos:R:3 comment="Nb3Pt, single point on PBEsol structure, DFT SCAN" formation_energy_ev_per_atom=-0.547 spacegroup="Pm-3n, No. 223" dos_at_fermi_per_ev_atom=1.1016 pbc="T T T"
Nb 1.286 0.000 2.572
Nb 3.858 0.000 2.572
Nb 0.000 2.572 1.286
Nb 0.000 2.572 3.858
Nb 2.572 3.858 0.000
Nb 2.572 1.286 0.000
Pt 0.000 0.000 0.000
Pt 2.572 2.572 2.572

---

Entry 14:
5
Lattice="5.587 0.000 0.000 0.000 5.587 0.000 0.000 0.000 5.587" Properties=species:S:1:pos:R:3 comment="MgSbBr3, single point on PBEsol structure, DFT SCAN" spacegroup="Pm-3m, No. 221" dos_at_fermi_per_ev_atom=0.5220 formation_energy_uncorrected_mev_per_atom=-222 pbc="T T T"
Sb 0.000 0.000 0.000
Mg 2.793 2.793 2.793
Br 0.000 2.793 0.000
Br 0.000 0.000 2.793
Br 2.793 0.000 0.000

---

Entry 15:
4
Lattice="2.920 0.000 0.035 0.000 2.920 0.000 -0.082 0.000 6.597" Properties=species:S:1:pos:R:3 comment="Cr2CdRu, single point on PBEsol structure, DFT SCAN" formation_energy_ev_per_atom=0.140 spacegroup="P4mm, No. 99" dos_at_fermi_per_ev_atom=0.4089 pbc="T T T"
Cd 1.398 1.460 4.991
Cr -0.003 0.000 0.319
Cr 1.439 1.460 1.607
Ru 2.882 0.000 3.049

---

Entry 16:
5
Lattice="-0.687 0.831 4.673 -4.728 -0.543 -0.599 0.425 -4.692 0.896" Properties=species:S:1:pos:R:3 comment="Fe3AgPb, single point on PBEsol structure, DFT SCAN" formation_energy_ev_per_atom=1.628 spacegroup="Pm-3m, No. 221" dos_at_fermi_per_ev_atom=1.5556 pbc="T T T"
Pb 0.000 0.000 0.000
Fe -2.364 -0.271 -0.299
Fe 0.213 -2.346 0.448
Fe -0.344 0.415 2.337
Ag -2.495 -2.202 2.486

---

Entry 17:
5
Lattice="-2.555 -0.200 -2.489 -0.533 -3.436 0.823 -1.531 3.028 3.892" Properties=species:S:1:pos:R:3 comment="Nb2H2Au, single point on PBEsol structure, DFT SCAN" final_energy_ev_per_atom=-28.678 spacegroup="I4/mmm, No. 139" dos_at_fermi_per_ev_atom=0.6645 pbc="T T T"
H -1.804 -1.113 1.941
H -2.815 0.505 0.285
Nb -2.077 0.817 2.067
Nb -2.542 -1.426 0.159
Au 0.000 0.000 0.000

---

Entry 18:
5
Lattice="-3.841 1.315 2.562 2.505 -0.581 4.054 1.473 4.750 -0.230" Properties=species:S:1:pos:R:3 comment="MgScTaSe2, single point on PBEsol structure, DFT SCAN" spacegroup="P4/mmm, No. 123" dos_at_fermi_per_ev_atom=0.9626 formation_energy_uncorrected_mev_per_atom=716 pbc="T T T"
Sc 0.068 2.742 3.193
Mg 0.000 0.000 0.000
Se 1.252 -0.290 2.027
Se -1.921 0.658 1.281
Ta 0.737 2.375 -0.115

---

Entry 19:
5
Lattice="4.828 0.000 0.000 0.000 4.828 0.000 0.000 0.000 4.828" Properties=species:S:1:pos:R:3 comment="ZnCd3Fe, single point on PBEsol structure, DFT SCAN" formation_energy_ev_per_atom=0.820 spacegroup="Pm-3m, No. 221" dos_at_fermi_per_ev_atom=1.0079 pbc="T T T"
Zn 0.000 0.000 0.000
Fe 2.414 2.414 2.414
Cd 0.000 2.414 0.000
Cd 0.000 0.000 2.414
Cd 2.414 0.000 0.000

---

Entry 20:
5
Lattice="-3.153 0.689 2.948 -1.080 -4.232 -0.165 2.828 -0.847 3.223" Properties=species:S:1:pos:R:3 comment="Co3AgW, single point on PBEsol structure, DFT SCAN" formation_energy_ev_per_atom=2.285 spacegroup="Pm-3m, No. 221" dos_at_fermi_per_ev_atom=1.1681 pbc="T T T"
Co -0.540 -2.116 -0.083
Co 1.414 -0.424 1.611
Co -1.576 0.345 1.474
Ag 0.000 0.000 0.000
W -0.702 -2.195 3.003